A relaxed structure of Li3GaN2. Source: Alexandria, functional PBE.

a b c (Å): 8.379 8.379 8.379
angles (deg): 109.47 109.47 109.47
Fractional positions:
1 Li 0.008 0.532 0.769
2 Li 0.024 0.763 0.032
3 Li 0.032 0.024 0.763
4 Li 0.231 0.992 0.468
5 Li 0.237 0.968 0.976
6 Li 0.239 0.731 0.263
7 Li 0.261 0.524 0.492
8 Li 0.263 0.239 0.731
9 Li 0.269 0.737 0.761
10 Li 0.468 0.231 0.992
11 Li 0.476 0.508 0.739
12 Li 0.492 0.261 0.524
13 Li 0.508 0.739 0.476
14 Li 0.524 0.492 0.261
15 Li 0.532 0.769 0.008
16 Li 0.731 0.263 0.239
17 Li 0.737 0.761 0.269
18 Li 0.739 0.476 0.508
19 Li 0.761 0.269 0.737
20 Li 0.763 0.032 0.024
21 Li 0.769 0.008 0.532
22 Li 0.968 0.976 0.237
23 Li 0.976 0.237 0.968
24 Li 0.992 0.468 0.231
25 Ga 0.000 0.264 0.500
26 Ga 0.000 0.736 0.500
27 Ga 0.236 0.236 0.236
28 Ga 0.264 0.500 0.000
29 Ga 0.500 0.000 0.264
30 Ga 0.500 0.000 0.736
31 Ga 0.736 0.500 0.000
32 Ga 0.764 0.764 0.764
33 N 0.000 0.000 0.000
34 N 0.000 0.500 0.500
35 N 0.023 0.273 0.750
36 N 0.227 0.250 0.477
37 N 0.250 0.477 0.227
38 N 0.250 0.977 0.727
39 N 0.273 0.750 0.023
40 N 0.477 0.227 0.250
41 N 0.500 0.000 0.500
42 N 0.500 0.500 0.000
43 N 0.523 0.773 0.750
44 N 0.727 0.250 0.977
45 N 0.750 0.023 0.273
46 N 0.750 0.523 0.773
47 N 0.773 0.750 0.523
48 N 0.977 0.727 0.250

Formation energy from raw total energies, eV per formula unit: -3.20
DOS at the Fermi energy, states/eV/cell: 0.0
Final energy, eV/atom: -4.769